Record 1
The following is a GGA-PBE calculation of a relaxed structure of GdPaAu, from the Open Quantum Materials Database.

Cell lengths 4.984, 4.984, 4.984 Å; angles 60.00, 60.00, 60.00 degrees
Fractional coordinates of all 3 atoms:
Gd (0.000, 0.000, 0.000)
Pa (0.500, 0.500, 0.500)
Au (0.250, 0.250, 0.250)

Results
* energy of formation from the pure elements: 0.099 eV per atom
* magnetic moment: 2.0 μB/f.u.
* E above lowest polymorph: 0.0 meV/atom

Record 2
The following is a GGA-PBE calculation of a relaxed structure of Cs2TmNbO4, from the Open Quantum Materials Database.

Cell lengths 3.403, 3.403, 13.351 Å; angles 90.00, 90.00, 120.00 degrees
Fractional coordinates of all 8 atoms:
Cs (0.333, 0.667, 0.256)
Cs (0.667, 0.333, 0.744)
Tm (0.000, 0.000, 0.000)
Nb (0.000, 0.000, 0.500)
O (0.333, 0.667, 0.576)
O (0.333, 0.667, 0.916)
O (0.667, 0.333, 0.084)
O (0.667, 0.333, 0.424)

Results
* total DFT energy (no corrections): -52.87 eV per cell
* magnetic moment: 1.4 μB/f.u.

Record 3
The following is a GGA-PBE calculation of a relaxed structure of NaTbCoSe3, from the Open Quantum Materials Database.

Cell lengths 11.214, 4.090, 11.932 Å; angles 90.00, 90.00, 90.00 degrees
Fractional coordinates of all 24 atoms:
Na (0.177, 0.250, 0.004)
Na (0.323, 0.750, 0.504)
Na (0.677, 0.250, 0.496)
Na (0.823, 0.750, 0.996)
Tb (0.021, 0.250, 0.316)
Tb (0.479, 0.750, 0.816)
Tb (0.521, 0.250, 0.184)
Tb (0.979, 0.750, 0.684)
Co (0.247, 0.250, 0.715)
Co (0.253, 0.750, 0.215)
Co (0.747, 0.250, 0.785)
Co (0.753, 0.750, 0.285)
Se (0.053, 0.750, 0.148)
Se (0.110, 0.250, 0.562)
Se (0.214, 0.750, 0.813)
Se (0.286, 0.250, 0.313)
Se (0.390, 0.750, 0.062)
Se (0.447, 0.250, 0.648)
Se (0.553, 0.750, 0.352)
Se (0.610, 0.250, 0.938)
Se (0.714, 0.750, 0.687)
Se (0.786, 0.250, 0.187)
Se (0.890, 0.750, 0.438)
Se (0.947, 0.250, 0.852)

Results
* magnetic moment: 2.7 μB/f.u.
* E above lowest polymorph: 52.0 meV/atom

Record 4
The following is a GGA-PBE calculation of a relaxed structure of KZrTe, from the Open Quantum Materials Database.

Cell lengths 5.206, 5.206, 5.206 Å; angles 60.00, 60.00, 60.00 degrees
Fractional coordinates of all 3 atoms:
K (0.000, 0.000, 0.000)
Zr (0.500, 0.500, 0.500)
Te (0.750, 0.750, 0.750)

Results
* magnetic moment: 2.6 μB/f.u.
* E above lowest polymorph: 0.0 meV/atom

Record 5
The following is a GGA-PBE calculation of a relaxed structure of SmPt2, from the Open Quantum Materials Database.

Cell lengths 4.639, 4.639, 4.639 Å; angles 60.00, 60.00, 60.00 degrees
Fractional coordinates of all 3 atoms:
Sm (0.000, 0.000, 0.000)
Pt (0.250, 0.250, 0.250)
Pt (0.750, 0.750, 0.750)

Results
* energy of formation from the pure elements: -0.422 eV per atom
* magnetic moment: 0.0 μB/f.u.

Record 6
The following is a GGA-PBE calculation of a relaxed structure of LuFeCoBi, from the Open Quantum Materials Database.

Cell lengths 4.562, 4.562, 4.562 Å; angles 60.00, 60.00, 60.00 degrees
Fractional coordinates of all 4 atoms:
Lu (0.000, 0.000, 0.000)
Fe (0.250, 0.250, 0.250)
Co (0.750, 0.750, 0.750)
Bi (0.500, 0.500, 0.500)

Results
* magnetic moment: 1.1 μB/f.u.
* E above lowest polymorph: 0.0 meV/atom

Record 7
The following is a GGA-PBE calculation of a relaxed structure of MgTc, from the Open Quantum Materials Database.

Cell lengths 5.589, 5.589, 4.697 Å; angles 90.00, 90.00, 120.00 degrees
Fractional coordinates of all 8 atoms:
Mg (0.000, 0.000, 0.000)
Mg (0.170, 0.340, 0.500)
Mg (0.170, 0.830, 0.500)
Mg (0.660, 0.830, 0.500)
Tc (0.011, 0.506, 0.000)
Tc (0.494, 0.506, 0.000)
Tc (0.494, 0.989, 0.000)
Tc (0.667, 0.333, 0.500)

Results
* magnetic moment: 0.0 μB/f.u.
* E above lowest polymorph: 289.6 meV/atom

Record 8
The following is a GGA-PBE calculation of a relaxed structure of PaNi5B2, from the Open Quantum Materials Database.

Cell lengths 5.477, 5.477, 5.477 Å; angles 142.88, 111.42, 80.64 degrees
Fractional coordinates of all 8 atoms:
Pa (0.000, 0.000, 0.000)
Ni (0.150, 0.344, 0.806)
Ni (0.463, 0.656, 0.806)
Ni (0.500, 0.000, 0.500)
Ni (0.537, 0.344, 0.194)
Ni (0.850, 0.656, 0.194)
B (0.258, 0.758, 0.500)
B (0.742, 0.242, 0.500)

Results
* total DFT energy (no corrections): -54.13 eV per cell
* magnetic moment: 0.0 μB/f.u.

Record 9
The following is a GGA-PBE calculation of a relaxed structure of Nb2PC, from the Open Quantum Materials Database.

Cell lengths 3.308, 3.308, 11.649 Å; angles 90.00, 90.00, 120.00 degrees
Fractional coordinates of all 8 atoms:
Nb (0.333, 0.667, 0.100)
Nb (0.333, 0.667, 0.400)
Nb (0.667, 0.333, 0.600)
Nb (0.667, 0.333, 0.900)
P (0.333, 0.667, 0.750)
P (0.667, 0.333, 0.250)
C (0.000, 0.000, 0.000)
C (0.000, 0.000, 0.500)

Results
* total DFT energy (no corrections): -75.69 eV per cell
* magnetic moment: 0.0 μB/f.u.

Record 10
The following is a GGA-PBE calculation of a relaxed structure of ZrO3, from the Open Quantum Materials Database.

Cell lengths 6.065, 6.283, 6.381 Å; angles 63.47, 75.04, 84.05 degrees
Fractional coordinates of all 16 atoms:
Zr (0.000, 0.000, 0.000)
Zr (0.004, 0.372, 0.454)
Zr (0.454, 0.034, 0.627)
Zr (0.682, 0.451, 0.082)
O (0.096, 0.020, 0.662)
O (0.208, 0.690, 0.441)
O (0.328, 0.052, 0.943)
O (0.344, 0.650, 0.571)
O (0.347, 0.362, 0.286)
O (0.591, 0.727, 0.823)
O (0.650, 0.013, 0.266)
O (0.666, 0.315, 0.488)
O (0.842, 0.958, 0.389)
O (0.883, 0.343, 0.808)
O (0.925, 0.641, 0.130)
O (0.989, 0.170, 0.240)

Results
* magnetic moment: 0.0 μB/f.u.
* E above lowest polymorph: 8.2 meV/atom

Record 11
The following is a GGA-PBE calculation of a relaxed structure of LaAgPO, from the Open Quantum Materials Database.

Cell lengths 5.667, 5.667, 4.763 Å; angles 90.00, 90.00, 90.00 degrees
Fractional coordinates of all 8 atoms:
La (0.250, 0.750, 0.000)
La (0.750, 0.250, 0.000)
Ag (0.250, 0.250, 0.499)
Ag (0.750, 0.750, 0.501)
P (0.250, 0.250, 0.999)
P (0.750, 0.750, 0.001)
O (0.250, 0.750, 0.500)
O (0.750, 0.250, 0.500)

Results
* magnetic moment: 0.0 μB/f.u.
* E above lowest polymorph: 625.0 meV/atom

Record 12
The following is a GGA-PBE calculation of a relaxed structure of CsGe5Pd3, from the Open Quantum Materials Database.

Cell lengths 5.444, 5.444, 8.635 Å; angles 90.00, 90.00, 120.00 degrees
Fractional coordinates of all 9 atoms:
Cs (0.000, 0.000, 0.000)
Ge (0.000, 0.000, 0.500)
Ge (0.333, 0.667, 0.255)
Ge (0.333, 0.667, 0.745)
Ge (0.667, 0.333, 0.255)
Ge (0.667, 0.333, 0.745)
Pd (0.000, 0.500, 0.500)
Pd (0.500, 0.000, 0.500)
Pd (0.500, 0.500, 0.500)

Results
* total DFT energy (no corrections): -40.15 eV per cell